TlCuF2 GGA-PBEsol optimized geometry; formation energy without anion corrections = -1.277 eV/atom; E_tot = -0.146 hartree per atom; volume = 86.1 Å³/cell
1.0
-3.128 1.265 -1.911
-0.393 -0.746 -3.785
-4.329 -5.459 -0.461
F Cu Tl
2 1 1
Cartesian
-4.377 -1.009 -5.306 F
-3.473 -3.931 -0.851 F
0.000 0.000 0.000 Cu
-3.925 -2.470 -3.079 Tl

ZnCuF4 GGA-PBEsol optimized geometry; formation energy without anion corrections = -1.842 eV/atom; E_tot = -0.151 hartree per atom; volume = 131.4 Å³/cell
1.0
-4.560 1.456 0.946
-1.922 -4.288 -2.661
3.275 -1.226 5.089
F Zn Cu
8 2 2
Cartesian
-0.100 -4.887 1.432 F
-2.020 -3.354 2.403 F
-0.811 -1.290 3.682 F
1.109 -2.822 2.711 F
-4.678 -2.045 0.160 F
-0.829 0.094 1.466 F
-2.038 -1.970 0.186 F
-3.469 0.019 1.439 F
-3.723 -2.492 -1.526 Zn
-0.482 -1.077 -0.668 Zn
-2.744 -1.667 1.922 Cu
0.497 -0.251 2.779 Cu

ZnCuF5 GGA-PBEsol optimized geometry; formation energy without anion corrections = -1.702 eV/atom; E_tot = -0.144 hartree per atom; volume = 325.7 Å³/cell
1.0
4.953 0.006 0.000
-2.440 6.939 0.000
0.000 0.000 9.472
F Cu Zn
20 4 4
Cartesian
1.803 0.077 1.029 F
-0.547 3.395 5.765 F
1.231 5.088 0.873 F
3.875 2.829 8.356 F
4.522 0.979 6.433 F
4.327 1.125 1.339 F
2.333 0.649 3.620 F
0.709 6.868 8.443 F
-0.025 1.615 3.863 F
0.179 6.296 5.851 F
1.882 2.353 6.074 F
0.631 4.592 3.397 F
-1.363 4.115 1.115 F
3.059 3.550 3.707 F
1.282 1.857 8.599 F
0.826 4.446 7.774 F
-2.010 5.966 3.038 F
2.538 5.330 5.609 F
1.687 2.499 1.697 F
-1.815 5.820 8.133 F
1.656 6.088 7.023 Cu
0.400 2.615 7.184 Cu
0.856 0.857 2.448 Cu
2.113 4.330 2.287 Cu
3.288 1.829 4.883 Zn
-0.776 5.116 4.589 Zn
2.921 1.649 0.147 Zn
-0.408 5.296 9.325 Zn